[1]
# GGA-PBE SiNi2Pt, optimized geometry
# Spin magnetization = 0.0 μB per formula unit
# Volume = 12.5 Å³/atom
# SG = P2/m, No. 10
# E_form (uncorrected) = -1.4 eV per formula unit
data_SiNi2Pt
_cell_length_a 3.694
_cell_length_b 2.721
_cell_length_c 5.232
_cell_angle_alpha 71.74
_cell_angle_beta 90.00
_cell_angle_gamma 90.00
_space_group_name_H-M_alt 'P 1'
_space_group_IT_number 1
_space_group_name_Hall 'P 1'
loop_
_atom_site_label
_atom_site_fract_x
_atom_site_fract_y
_atom_site_fract_z
Si1 0.500 0.750 0.750
Ni1 0.000 0.588 0.528
Pt1 0.500 0.250 0.250
Ni2 0.000 0.912 0.972

=====

[2]
# GGA-PBE Y2RuSe, optimized geometry
# Spin magnetization = 0.0 μB per formula unit
# Volume = 25.9 Å³/atom
# SG = I-42d, No. 122
# E_form (uncorrected) = -1.9 eV per formula unit
data_Y2RuSe
_cell_length_a 7.231
_cell_length_b 7.231
_cell_length_c 6.467
_cell_angle_alpha 56.01
_cell_angle_beta 56.01
_cell_angle_gamma 90.00
_space_group_name_H-M_alt 'P 1'
_space_group_IT_number 1
_space_group_name_Hall 'P 1'
loop_
_atom_site_label
_atom_site_fract_x
_atom_site_fract_y
_atom_site_fract_z
Y1 0.645 0.125 0.250
Y2 0.105 0.625 0.250
Se1 0.250 0.750 0.500
Y3 0.875 0.895 0.750
Ru1 0.750 0.250 0.500
Ru2 0.000 0.000 0.000
Y4 0.375 0.355 0.750
Se2 0.500 0.500 0.000

=====

[3]
# GGA-PBE YPdI, optimized geometry
# Spin magnetization = 0.0 μB per formula unit
# Volume = 28.7 Å³/atom
# SG = Fdd2, No. 43
# E_form (uncorrected) = -2.2 eV per formula unit
data_YPdI
_cell_length_a 7.598
_cell_length_b 7.744
_cell_length_c 7.598
_cell_angle_alpha 73.31
_cell_angle_beta 65.50
_cell_angle_gamma 106.69
_space_group_name_H-M_alt 'P 1'
_space_group_IT_number 1
_space_group_name_Hall 'P 1'
loop_
_atom_site_label
_atom_site_fract_x
_atom_site_fract_y
_atom_site_fract_z
I1 0.900 0.238 0.925
Pd1 0.129 0.784 0.906
Pd2 0.344 0.284 0.121
Y1 0.045 0.925 0.573
Y2 0.677 0.425 0.205
Pd3 0.595 0.716 0.939
I2 0.836 0.762 0.339
I3 0.325 0.738 0.350
Y3 0.502 0.075 0.880
I4 0.911 0.262 0.414
Pd4 0.311 0.216 0.655
Y4 0.370 0.575 0.748

=====

[4]
# GGA-PBE LaMgZr, optimized geometry
# Spin magnetization = 0.0 μB per formula unit
# Volume = 28.1 Å³/atom
# Formation enthalpy at 0 K = 0.05 eV per atom
# SG = P-1, No. 2
data_LaMgZr
_cell_length_a 5.318
_cell_length_b 3.356
_cell_length_c 14.617
_cell_angle_alpha 103.33
_cell_angle_beta 136.63
_cell_angle_gamma 89.91
_space_group_name_H-M_alt 'P 1'
_space_group_IT_number 1
_space_group_name_Hall 'P 1'
loop_
_atom_site_label
_atom_site_fract_x
_atom_site_fract_y
_atom_site_fract_z
Mg1 0.929 0.590 0.589
Mg2 0.071 0.410 0.411
La1 0.749 0.250 0.750
Zr1 0.622 0.939 0.936
La2 0.251 0.750 0.250
Zr2 0.378 0.061 0.064

=====

[5]
# GGA-PBE TaTcBi3, optimized geometry
# Spin magnetization = 3.6 μB per formula unit
# Volume = 29.4 Å³/atom
# Formation enthalpy at 0 K = 1.34 eV per atom
# SG = Pm-3m, No. 221
data_TaTcBi3
_cell_length_a 5.276
_cell_length_b 5.276
_cell_length_c 5.276
_cell_angle_alpha 90.00
_cell_angle_beta 90.00
_cell_angle_gamma 90.00
_space_group_name_H-M_alt 'P 1'
_space_group_IT_number 1
_space_group_name_Hall 'P 1'
loop_
_atom_site_label
_atom_site_fract_x
_atom_site_fract_y
_atom_site_fract_z
Ta1 0.500 0.500 0.500
Bi1 0.000 0.500 0.000
Tc1 0.000 0.000 0.000
Bi2 0.000 0.000 0.500
Bi3 0.500 0.000 0.000

=====

[6]
# GGA-PBE RbTaN3, optimized geometry
# Spin magnetization = 3.0 μB per formula unit
# Volume = 14.8 Å³/atom
# SG = Pm-3m, No. 221
# E_form (uncorrected) = 0.8 eV per formula unit
data_RbTaN3
_cell_length_a 4.195
_cell_length_b 4.195
_cell_length_c 4.195
_cell_angle_alpha 90.00
_cell_angle_beta 90.00
_cell_angle_gamma 90.00
_space_group_name_H-M_alt 'P 1'
_space_group_IT_number 1
_space_group_name_Hall 'P 1'
loop_
_atom_site_label
_atom_site_fract_x
_atom_site_fract_y
_atom_site_fract_z
N1 0.000 0.000 0.500
N2 0.000 0.500 0.000
Rb1 0.500 0.500 0.500
N3 0.500 0.000 0.000
Ta1 0.000 0.000 0.000

=====

[7]
# GGA-PBE BaNiSb2, optimized geometry
# Spin magnetization = 0.0 μB per formula unit
# Volume = 27.5 Å³/atom
# SG = F-43m, No. 216
# E_form (uncorrected) = 0.4 eV per formula unit
data_BaNiSb2
_cell_length_a 5.376
_cell_length_b 5.376
_cell_length_c 5.376
_cell_angle_alpha 60.00
_cell_angle_beta 60.00
_cell_angle_gamma 60.00
_space_group_name_H-M_alt 'P 1'
_space_group_IT_number 1
_space_group_name_Hall 'P 1'
loop_
_atom_site_label
_atom_site_fract_x
_atom_site_fract_y
_atom_site_fract_z
Sb1 0.000 0.000 0.000
Sb2 0.250 0.250 0.250
Ba1 0.500 0.500 0.500
Ni1 0.750 0.750 0.750

=====

[8]
# GGA-PBE ErBe3Au6, optimized geometry
# Spin magnetization = 0.0 μB per formula unit
# Volume = 17.0 Å³/atom
# Formation enthalpy at 0 K = -0.28 eV per atom
# SG = R3, No. 146
data_ErBe3Au6
_cell_length_a 5.656
_cell_length_b 5.656
_cell_length_c 6.950
_cell_angle_alpha 90.00
_cell_angle_beta 114.01
_cell_angle_gamma 120.00
_space_group_name_H-M_alt 'P 1'
_space_group_IT_number 1
_space_group_name_Hall 'P 1'
loop_
_atom_site_label
_atom_site_fract_x
_atom_site_fract_y
_atom_site_fract_z
Au1 0.289 0.398 0.679
Be1 0.252 0.126 0.378
Au2 0.164 0.680 0.245
Be2 0.317 0.658 0.975
Au3 0.762 0.081 0.245
Au4 0.280 0.891 0.679
Au5 0.788 0.389 0.679
Be3 0.647 0.323 0.970
Au6 0.565 0.483 0.245
Er1 0.938 0.969 0.906

=====

Question: Among the records above, which one has the lowest volume?
Answer: SiNi2Pt